Record 1
VASP calculation (PBEsol) on a geometry-optimized AsIr structure.

Results
**DOS at the Fermi energy**: 1.2 states/eV/f.u.
**Energy of formation**: 0.181 eV/atom
**Crystal system**: tetragonal

Cell lengths 3.950, 4.005, 4.005 Å; angles 90.00, 90.00, 90.00 degrees
Fractional coordinates of all 4 atoms:
As (0.000, 0.500, 0.500)
As (0.000, 0.000, 0.000)
Ir (0.374, 0.500, 0.000)
Ir (0.626, 0.000, 0.500)

=====

Record 2
VASP calculation (PBEsol) on a geometry-optimized K2AsIr structure.

Results
**DOS at the Fermi energy**: 3.1 states/eV/f.u.
**Energy of formation**: 0.484 eV/atom
**Crystal system**: tetragonal

Cell lengths 2.823, 2.823, 10.477 Å; angles 90.00, 90.00, 90.00 degrees
Fractional coordinates of all 4 atoms:
As (0.500, 0.500, 0.000)
K (0.000, 0.000, 0.251)
K (0.000, 0.000, 0.749)
Ir (0.500, 0.500, 0.500)

=====

Record 3
VASP calculation (PBEsol) on a geometry-optimized KAs2Ir2 structure.

Results
**DOS at the Fermi energy**: 1.3 states/eV/f.u.
**Energy of formation**: -0.415 eV/atom
**Crystal system**: tetragonal

Cell lengths 4.007, 4.007, 7.147 Å; angles 106.28, 106.28, 90.00 degrees
Fractional coordinates of all 5 atoms:
As (0.643, 0.643, 0.287)
As (0.357, 0.357, 0.713)
Ir (0.250, 0.750, 0.500)
Ir (0.750, 0.250, 0.500)
K (0.000, 0.000, 0.000)

=====

Record 4
VASP calculation (PBEsol) on a geometry-optimized KAsIr2 structure.

Results
**DOS at the Fermi energy**: 4.6 states/eV/f.u.
**Energy of formation**: 0.762 eV/atom
**Crystal system**: monoclinic

Cell lengths 2.663, 5.062, 5.781 Å; angles 115.91, 103.21, 90.24 degrees
Fractional coordinates of all 4 atoms:
Ir (0.500, 0.500, 0.500)
Ir (0.000, 0.000, 0.500)
As (0.000, 0.000, 0.000)
K (0.500, 0.500, 0.000)

=====

| no. | ρ (g/cm³) |
| --- | --- |
| 1 | 14.00 |
| 2 | 6.87 |
| 3 | 9.04 |
| 4 | 12.22 |